Crystalline TbDyTl at its relaxed geometry. Source: the Alexandria database, functional PBE.

Cell and atoms, written as POSCAR:
```
TbDyTl
1.0
3.587 0.000 0.000
0.000 3.587 0.000
-1.794 -1.794 6.858
Tl Tb Dy
1 1 1
Direct
0.950 0.950 0.899 Tl
0.608 0.608 0.215 Tb
0.293 0.293 0.586 Dy
```

- Magnetization: 0.0000 μB/atom
- Energy relative to the elements: -229.3 meV/atom
- Fermi-level density of states: 3.47 states/eV/cell